1.
# PBE TmMg8Ag4, optimized geometry
# * magnetization: 0.00 μB/f.u.
# * energy of formation from the pure elements: -0.16 eV/atom
# * total energy: -2.36 eV per atom
data_TmMg8Ag4
_chemical_formula_sum 'Tm2 Mg16 Ag8'
_space_group_name_H-M_alt 'I 4/m m m'
_space_group_IT_number 139
_space_group_name_Hall '-I 4 2'
_cell_length_a 9.8098
_cell_length_b 9.8098
_cell_length_c 5.6432
_cell_angle_alpha 90.00
_cell_angle_beta 90.00
_cell_angle_gamma 90.00
loop_
_atom_site_label
_atom_site_type_symbol
_atom_site_fract_x
_atom_site_fract_y
_atom_site_fract_z
Tm1 Tm 0.0000 0.0000 0.0000
Mg1 Mg 0.0000 0.2123 0.5000
Mg2 Mg 0.0000 0.3419 0.0000
Ag1 Ag 0.2500 0.2500 0.2500

***

2.
# PBE Ag4Br2F5, optimized geometry
# * magnetization: 0.00 μB/f.u.
# * raw formation energy: -0.8501 eV/atom
# * total energy: -3.04 eV per atom
data_Ag4Br2F5
_chemical_formula_sum 'Ag4 Br2 F5'
_space_group_name_H-M_alt 'P -1'
_space_group_IT_number 2
_space_group_name_Hall '-P 1'
_cell_length_a 3.6323
_cell_length_b 6.0600
_cell_length_c 10.2898
_cell_angle_alpha 99.71
_cell_angle_beta 95.02
_cell_angle_gamma 91.79
loop_
_atom_site_label
_atom_site_type_symbol
_atom_site_fract_x
_atom_site_fract_y
_atom_site_fract_z
Ag1 Ag 0.1953 0.2861 0.0662
Ag2 Ag 0.2617 0.7864 0.5989
Br1 Br 0.2949 0.2748 0.5922
F1 F 0.1734 0.4398 0.8913
F2 F 0.1921 0.1965 0.2590
F3 F 0.5000 0.0000 0.0000

***

3.
# PBE Ga2GeN, optimized geometry
# * magnetization: 0.00 μB/f.u.
# * raw formation energy: 0.0580 eV/atom
# * excess energy over the best structure of this formula in the dataset: 0.000 eV/atom
# * total energy: -4.69 eV per atom
data_Ga2GeN
_chemical_formula_sum 'Ga8 Ge4 N4'
_space_group_name_H-M_alt 'I -4 2 d'
_space_group_IT_number 122
_space_group_name_Hall 'I -4 2bw'
_cell_length_a 5.2800
_cell_length_b 5.2800
_cell_length_c 9.8461
_cell_angle_alpha 90.00
_cell_angle_beta 90.00
_cell_angle_gamma 90.00
loop_
_atom_site_label
_atom_site_type_symbol
_atom_site_fract_x
_atom_site_fract_y
_atom_site_fract_z
Ga1 Ga 0.1713 0.2500 0.1250
Ge1 Ge 0.0000 0.0000 0.5000
N1 N 0.0000 0.0000 0.0000

***

> What is the magnetization in the second record?

0.00 μB/f.u.

***

> What is the total energy in the second record?

-3.04 eV per atom

***

> The highest total energy belongs to which entry?

TmMg8Ag4

***

> Which value of total energy does entry 2 give?

-3.04 eV per atom